Record 1
Below is a geometry-optimized Sm3HoGa2 structure, with properties calculated at the PBE level.

density of states at the Fermi level: 10.93 states/eV per cell
formation energy: -2.0 eV per formula unit
SG: C2/m, No. 12

The structure in POSCAR format:
```
Sm3HoGa2
1.0
-1.973 -4.046 -0.560
7.799 -2.084 5.957
-8.021 3.510 2.895
Ga Sm Ho
4 6 2
Direct
0.233 0.466 0.751 Ga
0.505 0.010 0.867 Ga
0.767 0.534 0.249 Ga
0.495 0.990 0.133 Ga
0.044 0.087 0.398 Sm
0.320 0.641 0.569 Sm
0.956 0.913 0.602 Sm
0.680 0.359 0.431 Sm
0.651 0.302 0.823 Sm
0.349 0.698 0.177 Sm
0.882 0.765 0.906 Ho
0.118 0.235 0.094 Ho
```

---

Record 2
Below is a geometry-optimized Sm4HoGa5 structure, with properties calculated at the PBE level.

density of states at the Fermi level: 3.98 states/eV per cell
formation energy: -5.7 eV per formula unit
SG: P4/mmm, No. 123

The structure in POSCAR format:
```
Sm4HoGa5
1.0
3.625 0.000 0.000
0.000 3.625 0.000
0.000 0.000 18.167
Ga Sm Ho
5 4 1
Direct
0.500 0.500 0.703 Ga
0.500 0.500 0.500 Ga
0.500 0.500 0.907 Ga
0.500 0.500 0.297 Ga
0.500 0.500 0.093 Ga
0.000 0.000 0.804 Sm
0.000 0.000 0.601 Sm
0.000 0.000 0.196 Sm
0.000 0.000 0.399 Sm
0.000 0.000 0.000 Ho
```

---

Record 3
Below is a geometry-optimized Sm2HoGa9 structure, with properties calculated at the PBE level.

density of states at the Fermi level: 5.27 states/eV per cell
formation energy: -6.4 eV per formula unit
SG: P4/mmm, No. 123

The structure in POSCAR format:
```
Sm2HoGa9
1.0
4.314 0.000 0.000
0.000 4.314 0.000
0.000 0.000 12.936
Ho Ga Sm
1 9 2
Direct
0.000 0.000 0.000 Ho
0.000 0.500 0.837 Ga
0.500 0.500 0.000 Ga
0.500 0.500 0.334 Ga
0.500 0.500 0.666 Ga
0.500 0.000 0.837 Ga
0.500 0.000 0.500 Ga
0.500 0.000 0.163 Ga
0.000 0.500 0.500 Ga
0.000 0.500 0.163 Ga
0.000 0.000 0.668 Sm
0.000 0.000 0.332 Sm
```

---

Record 4
Below is a geometry-optimized SmHo3Ga3 structure, with properties calculated at the PBE level.

density of states at the Fermi level: 9.41 states/eV per cell
formation energy: -3.1 eV per formula unit
SG: P6_3/m, No. 176

The structure in POSCAR format:
```
SmHo3Ga3
1.0
4.780 0.000 0.000
0.000 9.169 0.000
0.000 -4.585 7.941
Ga Ho Sm
6 6 2
Direct
0.750 0.942 0.550 Ga
0.250 0.058 0.450 Ga
0.750 0.450 0.391 Ga
0.250 0.391 0.942 Ga
0.250 0.550 0.609 Ga
0.750 0.609 0.058 Ga
0.250 0.745 0.983 Ho
0.750 0.983 0.238 Ho
0.750 0.762 0.745 Ho
0.250 0.238 0.255 Ho
0.250 0.017 0.762 Ho
0.750 0.255 0.017 Ho
0.750 0.333 0.667 Sm
0.250 0.667 0.333 Sm
```

---

What calculated volume values result from the calculations? In sequence: 331.8, 238.8, 240.7, 348.0 Å³ per cell.
What total magnetization values result from the calculations? In sequence: 0.00, 0.00, 0.00, 0.00 μB/f.u..